Entry 1:
Below is an optimized crystal structure of Sr2ErCu9, with properties calculated at the GGA-PBE level.

## Properties
energy = -3.7916 eV/atom
DOS(E_F) = 17.109 states/eV per cell
M_tot = 0.0 μB/f.u.
energy of formation from the pure elements = -0.059 eV/atom

Lattice parameters (Å, degrees): 5.2116 5.2116 26.1519 90.00 90.00 120.00
Space group R-3m (No. 166, hexagonal axes)
Symmetry-distinct sites (fractional):
Sr: 0.0000 0.0000 0.1394 [6 per cell]
Er: 0.0000 0.0000 0.0000 [3 per cell]
Cu: 0.0000 0.0000 0.3317 [6 per cell]
Cu: 0.0000 0.0000 0.5000 [3 per cell]
Cu: 0.0054 0.5027 0.0767 [18 per cell]

Entry 2:
Below is an optimized crystal structure of SrErCu2, with properties calculated at the GGA-PBE level.

## Properties
energy = -3.7375 eV/atom
DOS(E_F) = 3.787 states/eV per cell
M_tot = 0.0 μB/f.u.
energy of formation from the pure elements = -0.128 eV/atom

Lattice parameters (Å, degrees): 3.599 3.599 7.265 90.00 90.00 90.00
Space group P4/mmm (No. 123)
Symmetry-distinct sites (fractional):
Sr: 0.000 0.000 0.000 [1 per cell]
Er: 0.000 0.000 0.500 [1 per cell]
Cu: 0.500 0.500 0.307 [2 per cell]